Computed, not measured: crystalline VHN2F at its relaxed geometry at the PBE with a Hubbard U level of DFT.

Properties
- Energy relative to the lowest polymorph listed for this composition: 14.3 kJ per mole of atoms

a = 3.0728 Å, b = 3.0728 Å, c = 4.1471 Å
α = 90.00°, β = 90.00°, γ = 90.00°
Element x y z (fractional)
V 0.0000 0.0000 0.0000
H 0.5000 0.5000 0.5000
N 0.0000 0.5000 0.5000
N 0.5000 0.0000 0.5000
F 0.5000 0.5000 0.0000